A geometry-optimized YCu2Pt structure. Source: the Alexandria database, functional GGA-PBE.

Values from the calculation:
For the density, the calculation gives 9.990 g cm⁻³. The energy above the most stable polymorph in this dataset comes out at 135 meV per atom. For the energy of formation, the calculation gives -0.383 eV per atom.

abc: 4.016 4.016 4.237
angles: 90.00 90.00 90.00
Space group P4/mmm (No. 123)
Asymmetric unit:
Y1 0.000 0.000 0.000
Cu1 0.000 0.500 0.500
Pt1 0.500 0.500 0.000